Entry 1:
Material: SrIn2Br
Method: DFT, PBE
State: optimized geometry

Computed properties:
Fermi-level density of states   0.5799 states/eV per atom
Offset from the most stable computed form   286 meV/atom

abc: 9.5141 9.5141 7.4095
angles: 50.06 50.06 90.00
Closest atoms and distances in Å follow each position.
Positions (direct):
Sr1 0.0000 0.0000 0.0000  2 Br 3.11
Sr2 0.7500 0.2500 0.5000  2 Br 3.11
Br1 0.5000 0.5000 0.0000  2 Sr 3.11, 4 In 3.33
Br2 0.2500 0.7500 0.5000  2 Sr 3.11, 4 In 3.33
In1 0.6063 0.1250 0.2500  2 In 3.13, 2 Br 3.33
In2 0.1437 0.6250 0.2500  2 In 3.13, 2 Br 3.33
In3 0.3750 0.3937 0.7500  2 In 3.13, 2 Br 3.33
In4 0.8750 0.8563 0.7500  2 In 3.13, 2 Br 3.33

Entry 2:
Material: CoMoAs2Br
Method: DFT, PBE
State: optimized geometry

Computed properties:
Fermi-level density of states   0.8571 states/eV per atom
Offset from the most stable computed form   0 meV/atom

abc: 4.4934 4.4934 5.0329
angles: 90.00 90.00 90.00
Closest atoms and distances in Å follow each position.
Positions (direct):
Mo1 0.5000 0.5000 0.5000  4 Br 3.18, 8 As 3.37
Co1 0.0000 0.0000 0.0000  4 As 2.25
As1 0.0000 0.5000 0.0000  2 Co 2.25
As2 0.5000 0.0000 0.0000  2 Co 2.25
Br1 0.0000 0.0000 0.5000  2 Co 2.52

| no. | V (Å³/f.u.) |
| --- | --- |
| 1 | 140.5 |
| 2 | 101.6 |